Be2FeRh: relaxed, PBE.

- Mass density: 6.8 g/cm³
- Crystal system: trigonal
- Final energy: -5.9063 eV per atom

```
Be2FeRh
1.0
1.3130 0.7581 7.2624
-1.3130 0.7581 7.2624
0.0000 -1.5161 7.2624
Be Fe Rh
2 1 1
Cartesian
0.0000 0.0000 5.4542
0.0000 0.0000 16.3329
0.0000 0.0000 0.0000
0.0000 0.0000 10.8935
```

=====

PuTl2Cd2O6: relaxed, PBE.

- Mass density: 8.3 g/cm³
- E_form (uncorrected): -1.44 eV/atom
- Crystal system: monoclinic

```
PuTl2Cd2O6
1.0
2.9910 -5.0091 0.0000
2.9910 5.0091 0.0000
-2.2158 0.0000 6.5372
Pu Tl Cd O
1 2 2 6
Cartesian
0.0000 0.0000 0.0000
1.8831 3.2739 3.2686
1.8831 -3.2739 3.2686
2.9910 1.6282 0.0000
2.9910 -1.6282 0.0000
0.8405 1.5055 1.1594
-0.4179 0.0000 5.3429
0.8405 -1.5055 1.1594
2.9257 1.5055 5.3778
4.1841 0.0000 1.1943
2.9257 -1.5055 5.3778
```

=====

La2NiSnHg: relaxed, PBE.

- Mass density: 7.6 g/cm³
- Crystal system: tetragonal
- Final energy: -4.4137 eV per atom

```
La2NiSnHg
1.0
5.4638 0.0000 0.0000
0.0000 5.4638 0.0000
0.0000 0.0000 4.8217
La Ni Sn Hg
2 1 1 1
Cartesian
0.0000 2.7319 0.0000
2.7319 0.0000 0.0000
0.0000 0.0000 0.0000
0.0000 0.0000 2.4109
2.7319 2.7319 2.4109
```